DFT (GGA-PBE) results for crystalline LiI2NCl at its relaxed geometry.

## Properties
Total DFT energy (no corrections), eV/atom: -2.094
E above lowest polymorph, meV/atom: 226
ΔE_f (raw), eV/f.u.: 4.71
Fermi-level density of states, states/eV per atom: 1.523

a b c (Å): 5.498 5.498 3.745
angles (deg): 90.00 90.00 90.00
Fractional coordinates of all 5 atoms:
Li1 0.000 0.000 0.000
I1 0.000 0.500 0.000
I2 0.500 0.000 0.000
N1 0.000 0.000 0.500
Cl1 0.500 0.500 0.500